A plane-wave DFT calculation with GGA-PBE was carried out for an optimized crystal structure of MoAs.

It has space group Fddd (No. 70, origin choice 2), with a = 7.134 Å, b = 7.674 Å, c = 9.967 Å, α = 90.00°, β = 90.00° and γ = 90.00°. The asymmetric unit holds Mo at (0.055, 0.375, 0.375) and As at (0.125, 0.328, 0.625).

The total energy is -7.64 eV/atom. The density of states at the Fermi level is 25.87 states/eV per cell. The total moment is 0.00 μB/f.u. The energy relative to the elements is 101 meV per atom.